Record 1
Below is a relaxed structure of CePr12Tm6, with properties calculated at the GGA-PBE level.

Properties
**Formation energy from the elements**: 3 kJ per mole of atoms
**Raw total energy**: -4.71 eV per atom

Cell: 9.626 9.626 9.626 Å, 110.95 110.95 110.95°
Site moments in Bohr magnetons follow the coordinates.
Element x y z (fractional)
Ce1 0.000 0.000 0.000  0.83
Pr1 0.374 0.060 0.581  0.00
Pr2 0.060 0.581 0.374  0.00
Pr3 0.581 0.374 0.060  0.00
Pr4 0.626 0.940 0.419  0.00
Pr5 0.940 0.419 0.626  0.00
Pr6 0.419 0.626 0.940  0.00
Pr7 0.104 0.156 0.739  0.01
Pr8 0.261 0.896 0.844  0.01
Pr9 0.844 0.261 0.896  0.01
Pr10 0.896 0.844 0.261  0.01
Pr11 0.739 0.104 0.156  0.01
Pr12 0.156 0.739 0.104  0.01
Tm1 0.215 0.317 0.470  0.03
Tm2 0.683 0.530 0.785  0.03
Tm3 0.530 0.785 0.683  0.03
Tm4 0.785 0.683 0.530  0.03
Tm5 0.317 0.470 0.215  0.03
Tm6 0.470 0.215 0.317  0.03

Record 2
Below is a relaxed structure of CePr8Tm3, with properties calculated at the GGA-PBE level.

Properties
**Formation energy from the elements**: 52 kJ per mole of atoms
**Raw total energy**: -4.26 eV per atom

Cell: 8.498 8.498 8.498 Å, 93.45 118.03 118.03°
Element x y z (fractional)
Ce1 0.000 0.000 0.000
Pr1 0.476 0.220 0.220
Pr2 0.524 0.744 0.744
Pr3 0.000 0.780 0.256
Pr4 0.000 0.256 0.780
Pr5 0.244 0.364 0.364
Pr6 0.756 0.120 0.120
Pr7 0.000 0.636 0.880
Pr8 0.000 0.880 0.636
Tm1 0.500 0.750 0.250
Tm2 0.500 0.250 0.750
Tm3 0.000 0.500 0.500

Record 3
Below is a relaxed structure of CePrTm3, with properties calculated at the GGA-PBE level.

Properties
**Formation energy from the elements**: 5 kJ per mole of atoms
**Raw total energy**: -4.78 eV per atom

Cell: 3.533 9.983 17.570 Å, 90.00 90.00 90.00°
Site moments in Bohr magnetons follow the coordinates.
Element x y z (fractional)
Ce1 0.250 0.882 0.548  0.53
Ce2 0.750 0.618 0.048  0.53
Ce3 0.750 0.118 0.452  0.53
Ce4 0.250 0.382 0.952  0.53
Pr1 0.750 0.625 0.648  0.00
Pr2 0.250 0.875 0.148  0.00
Pr3 0.250 0.375 0.352  0.00
Pr4 0.750 0.125 0.852  0.00
Tm1 0.250 0.873 0.749  0.00
Tm2 0.750 0.627 0.249  0.00
Tm3 0.750 0.127 0.251  0.00
Tm4 0.250 0.373 0.751  0.00
Tm5 0.750 0.122 0.649  0.00
Tm6 0.250 0.378 0.149  0.00
Tm7 0.250 0.878 0.351  0.00
Tm8 0.750 0.622 0.851  0.00
Tm9 0.750 0.632 0.450  0.01
Tm10 0.250 0.868 0.950  0.01
Tm11 0.250 0.368 0.550  0.01
Tm12 0.750 0.132 0.050  0.01

Record 4
Below is a relaxed structure of CePr8Tm6, with properties calculated at the GGA-PBE level.

Properties
**Formation energy from the elements**: 13 kJ per mole of atoms
**Raw total energy**: -4.60 eV per atom

Cell: 5.962 9.883 9.883 Å, 120.00 90.00 90.00°
Element x y z (fractional)
Ce1 0.500 0.000 0.000
Pr1 0.770 0.050 0.269
Pr2 0.770 0.731 0.781
Pr3 0.770 0.219 0.950
Pr4 0.230 0.950 0.731
Pr5 0.230 0.269 0.219
Pr6 0.230 0.781 0.050
Pr7 0.776 0.333 0.667
Pr8 0.224 0.667 0.333
Tm1 0.743 0.619 0.093
Tm2 0.743 0.907 0.526
Tm3 0.743 0.474 0.381
Tm4 0.257 0.381 0.907
Tm5 0.257 0.093 0.474
Tm6 0.257 0.526 0.619

Record 5
Below is a relaxed structure of CePrTm6, with properties calculated at the GGA-PBE level.

Properties
**Formation energy from the elements**: 37 kJ per mole of atoms
**Raw total energy**: -4.31 eV per atom

Cell: 6.059 6.059 9.249 Å, 86.44 116.90 113.84°
Site moments in Bohr magnetons follow the coordinates.
Element x y z (fractional)
Ce1 0.000 0.000 0.000  0.72
Pr1 0.500 0.000 0.500  0.00
Tm1 0.356 0.455 0.296  0.05
Tm2 0.841 0.940 0.296  0.05
Tm3 0.159 0.060 0.704  0.05
Tm4 0.644 0.545 0.704  0.05
Tm5 0.703 0.377 0.080  0.07
Tm6 0.297 0.623 0.920  0.07

Record 6
Below is a relaxed structure of CePr2Tm, with properties calculated at the GGA-PBE level.

Properties
**Formation energy from the elements**: 7 kJ per mole of atoms
**Raw total energy**: -4.92 eV per atom

Cell: 3.584 3.584 10.255 Å, 90.00 90.00 90.00°
Site moments in Bohr magnetons follow the coordinates.
Element x y z (fractional)
Pr1 0.000 0.000 0.748  -0.01
Pr2 0.000 0.000 0.252  -0.01
Tm1 0.500 0.500 0.000  -0.03
Ce1 0.500 0.500 0.500  0.58